Crystalline VCdI2O at its relaxed geometry. Source: Alexandria, functional PBE with a Hubbard U.

abc: 5.622 5.622 5.972
angles: 90.00 90.00 90.00
Sites, in units of the cell vectors:
V 0.000 0.000 0.000
Cd 0.000 0.000 0.500
I 0.000 0.500 0.000
I 0.500 0.000 0.000
O 0.500 0.500 0.500

Calculated values
Its symmetry is P4/mmm. For the excess energy over the best structure of this formula in the dataset, the calculation gives 552 kJ/mol of formula units.